Material: Ac2Mg3Rh2
Method: DFT, GGA-PBE
State: relaxed

Cell: 5.900 5.900 7.946 Å, 112.21 112.21 42.76°
Sites, in units of the cell vectors:
Ac  0.142  0.142  0.279
Ac  0.858  0.858  0.721
Mg  0.354  0.354  0.067
Mg  0.500  0.500  0.500
Mg  0.646  0.646  0.933
Rh  0.145  0.145  0.694
Rh  0.855  0.855  0.306

* ΔH_f (0 K): -479 meV/atom
* SG: C2/m (12)
* crystal system: monoclinic
* E: -0.1630 Ha/atom

***

Material: AcMg2Rh
Method: DFT, GGA-PBE
State: relaxed

Cell: 5.827 5.827 8.432 Å, 90.00 90.00 136.76°
Sites, in units of the cell vectors:
Ac  0.059  0.941  0.750
Ac  0.941  0.059  0.250
Mg  0.338  0.662  0.557
Mg  0.338  0.662  0.943
Mg  0.662  0.338  0.057
Mg  0.662  0.338  0.443
Rh  0.225  0.775  0.250
Rh  0.775  0.225  0.750

* ΔH_f (0 K): -450 meV/atom
* SG: Cmcm (63)
* crystal system: orthorhombic
* energy above the lowest structure with this stoichiometry: 0 meV per atom
* E: -0.1511 Ha/atom

***

Material: Ac3MgRh
Method: DFT, GGA-PBE
State: relaxed

Cell: 5.804 5.804 5.804 Å, 90.00 90.00 90.00°
Sites, in units of the cell vectors:
Ac  0.000  0.000  0.500
Ac  0.000  0.500  0.000
Ac  0.500  0.000  0.000
Mg  0.500  0.500  0.500
Rh  0.000  0.000  0.000

* ΔH_f (0 K): -263 meV/atom
* SG: Pm-3m (221)
* crystal system: cubic
* energy above the lowest structure with this stoichiometry: 62 meV per atom
* E: -0.1660 Ha/atom

***

Material: Ac3MgRh
Method: DFT, GGA-PBE
State: relaxed

Cell: 7.232 7.232 9.844 Å, 110.56 110.56 49.17°
Sites, in units of the cell vectors:
Ac  0.111  0.111  0.230
Ac  0.152  0.152  0.651
Ac  0.374  0.374  0.080
Ac  0.626  0.626  0.920
Ac  0.848  0.848  0.349
Ac  0.889  0.889  0.770
Mg  0.402  0.402  0.550
Mg  0.598  0.598  0.450
Rh  0.129  0.129  0.937
Rh  0.871  0.871  0.063

* ΔH_f (0 K): -325 meV/atom
* SG: C2/m (12)
* crystal system: monoclinic
* energy above the lowest structure with this stoichiometry: 0 meV per atom
* E: -0.1683 Ha/atom